[1]
Entry from Alexandria via LeMat-Bulk: a relaxed CsLaBeV2 crystal (GGA-PBE).

Unit cell a=5.024 b=5.024 c=6.658 alpha=90.00 beta=90.00 gamma=90.00
Sites, in units of the cell vectors:
Cs 0.000 0.000 0.000
La 0.000 0.000 0.500
Be 0.500 0.500 0.000
V 0.000 0.500 0.500
V 0.500 0.000 0.500

Results
Energy relative to the elements, meV/atom: 2133
Crystal system: tetragonal



[2]
Entry from Alexandria via LeMat-Bulk: a relaxed Mg2SiMo crystal (GGA-PBE).

Unit cell a=2.874 b=2.874 c=8.876 alpha=90.00 beta=90.00 gamma=105.37
Sites, in units of the cell vectors:
Mg 0.000 0.000 0.000
Mg 0.500 0.500 0.292
Si 0.000 0.000 0.543
Mo 0.500 0.500 0.745

Results
Formation energy (no corrections), eV per atom: 0.1189
Crystal system: orthorhombic



[3]
Entry from Alexandria via LeMat-Bulk: a relaxed Nd2TmIn crystal (GGA-PBE).

Unit cell a=4.759 b=4.662 c=11.598 alpha=90.00 beta=101.64 gamma=90.00
Sites, in units of the cell vectors:
Nd 0.061 0.250 0.123
Nd 0.426 0.250 0.851
Nd 0.574 0.750 0.149
Nd 0.939 0.750 0.877
Tm 0.307 0.750 0.609
Tm 0.693 0.250 0.391
In 0.167 0.750 0.339
In 0.833 0.250 0.661

Results
Energy relative to the elements, meV/atom: -108
Energy above the lowest structure with this stoichiometry, kJ/mol of atoms: 15.3
Crystal system: monoclinic



[4]
Entry from Alexandria via LeMat-Bulk: a relaxed Mg2AlAu2 crystal (GGA-PBE).

Unit cell a=8.041 b=8.041 c=2.957 alpha=90.00 beta=90.00 gamma=90.00
Sites, in units of the cell vectors:
Mg 0.135 0.365 0.000
Mg 0.365 0.865 0.000
Mg 0.635 0.135 0.000
Mg 0.865 0.635 0.000
Al 0.000 0.000 0.000
Al 0.500 0.500 0.000
Au 0.161 0.661 0.500
Au 0.339 0.161 0.500
Au 0.661 0.839 0.500
Au 0.839 0.339 0.500

Results
Energy relative to the elements, meV/atom: -273
Energy above the lowest structure with this stoichiometry, kJ/mol of atoms: 18.6
Crystal system: tetragonal



Repeat the first record exactly.
Entry from Alexandria via LeMat-Bulk: a relaxed CsLaBeV2 crystal (GGA-PBE).

Unit cell a=5.024 b=5.024 c=6.658 alpha=90.00 beta=90.00 gamma=90.00
Sites, in units of the cell vectors:
Cs 0.000 0.000 0.000
La 0.000 0.000 0.500
Be 0.500 0.500 0.000
V 0.000 0.500 0.500
V 0.500 0.000 0.500

Results
Energy relative to the elements, meV/atom: 2133
Crystal system: tetragonal